(1)
Compound: SiI3N
Source: Alexandria
Functional: PBE-GGA
Structure: relaxed

a b c (Å): 5.588 5.588 5.588
angles (deg): 90.00 90.00 90.00
Space group Pm-3m (No. 221)
Asymmetric unit:
Si (0.000, 0.000, 0.000) [1 per cell]
I (0.000, 0.000, 0.500) [3 per cell]
N (0.500, 0.500, 0.500) [1 per cell]

## Properties
- Excess energy over the best structure of this formula in the dataset: 0 meV/atom
- E_form (uncorrected): 104.7 kJ per mole of atoms
- N(E_F): 3.893 states/eV/cell

***

(2)
Compound: Sc3Pa
Source: Alexandria
Functional: PBE-GGA
Structure: relaxed

a b c (Å): 3.250 10.554 5.688
angles (deg): 90.00 90.00 90.00
Space group Imm2 (No. 44)
Asymmetric unit:
Sc (0.000, 0.000, 0.000) [2 per cell]
Sc (0.000, 0.248, 0.675) [4 per cell]
Pa (0.000, 0.500, 0.015) [2 per cell]

## Properties
- Excess energy over the best structure of this formula in the dataset: 85 meV/atom
- DFT formation energy: 109 meV/atom
- N(E_F): 14.419 states/eV/cell

***

(3)
Compound: TiMnFeAs
Source: Alexandria
Functional: PBE-GGA
Structure: relaxed

a b c (Å): 5.786 5.786 5.786
angles (deg): 90.00 90.00 90.00
Space group F-43m (No. 216)
Asymmetric unit:
Ti (0.000, 0.000, 0.000) [4 per cell]
Mn (0.250, 0.250, 0.750) [4 per cell]
Fe (0.250, 0.250, 0.250) [4 per cell]
As (0.000, 0.000, 0.500) [4 per cell]

## Properties
- DFT formation energy: -364 meV/atom

***

(4)
Compound: Dy2Al2In
Source: Alexandria
Functional: PBE-GGA
Structure: relaxed

a b c (Å): 4.480 14.615 3.537
angles (deg): 90.00 90.00 90.00
Space group Cmmm (No. 65)
Asymmetric unit:
Dy (0.000, 0.122, 0.000) [4 per cell]
Al (0.000, 0.298, 0.500) [4 per cell]
In (0.000, 0.500, 0.500) [2 per cell]

## Properties
- DFT formation energy: -480 meV/atom
- N(E_F): 7.311 states/eV/cell

***

(5)
Compound: La6Zn3Ga
Source: Alexandria
Functional: PBE-GGA
Structure: relaxed

a b c (Å): 9.493 5.267 11.780
angles (deg): 90.00 105.79 90.00
Space group P2_1/m (No. 11)
Asymmetric unit:
La (0.010, 0.250, 0.403) [2 per cell]
La (0.147, 0.750, 0.181) [2 per cell]
La (0.235, 0.250, 0.994) [2 per cell]
La (0.356, 0.750, 0.837) [2 per cell]
La (0.383, 0.250, 0.349) [2 per cell]
La (0.391, 0.250, 0.616) [2 per cell]
Zn (0.035, 0.750, 0.878) [2 per cell]
Zn (0.125, 0.250, 0.720) [2 per cell]
Zn (0.268, 0.750, 0.466) [2 per cell]
Ga (0.447, 0.750, 0.117) [2 per cell]

## Properties
- DFT formation energy: -284 meV/atom
- N(E_F): 19.009 states/eV/cell

***

(6)
Compound: Ba3HRh
Source: Alexandria
Functional: PBE-GGA
Structure: relaxed

a b c (Å): 7.783 13.332 7.704
angles (deg): 90.00 110.40 90.00
Space group C2/m (No. 12)
Asymmetric unit:
Ba (0.246, 0.000, 0.242) [4 per cell]
Ba (0.246, 0.166, 0.734) [8 per cell]
H (0.127, 0.000, 0.867) [4 per cell]
Rh (0.000, 0.333, 0.500) [4 per cell]

## Properties
- Excess energy over the best structure of this formula in the dataset: 6 meV/atom
- N(E_F): 11.021 states/eV/cell

***

(7)
Compound: KSnAu
Source: Alexandria
Functional: PBE-GGA
Structure: relaxed

a b c (Å): 12.905 5.116 5.518
angles (deg): 90.00 98.48 90.00
Space group C2/m (No. 12)
Asymmetric unit:
K (0.000, 0.000, 0.000) [2 per cell]
K (0.000, 0.500, 0.500) [2 per cell]
Sn (0.197, 0.000, 0.618) [4 per cell]
Au (0.235, 0.500, 0.864) [4 per cell]

## Properties
- DFT formation energy: -253 meV/atom
- N(E_F): 1.981 states/eV/cell

***

(8)
Compound: Pr3ErHg2
Source: Alexandria
Functional: PBE-GGA
Structure: relaxed

a b c (Å): 6.957 15.753 6.886
angles (deg): 90.00 90.00 90.00
Space group Ibam (No. 72)
Asymmetric unit:
Pr (0.000, 0.000, 0.250) [4 per cell]
Pr (0.243, 0.317, 0.000) [8 per cell]
Er (0.000, 0.500, 0.250) [4 per cell]
Hg (0.236, 0.374, 0.500) [8 per cell]

## Properties
- Excess energy over the best structure of this formula in the dataset: 43 meV/atom
- DFT formation energy: -278 meV/atom
- N(E_F): 18.691 states/eV/cell

***

(9)
Compound: AsPb3
Source: Alexandria
Functional: PBE-GGA
Structure: relaxed

a b c (Å): 7.658 7.658 7.658
angles (deg): 90.00 90.00 90.00
Space group Fm-3m (No. 225)
Asymmetric unit:
As (0.000, 0.000, 0.000) [4 per cell]
Pb (0.000, 0.000, 0.500) [4 per cell]
Pb (0.250, 0.250, 0.250) [8 per cell]

## Properties
- Excess energy over the best structure of this formula in the dataset: 121 meV/atom
- DFT formation energy: 160 meV/atom
- N(E_F): 9.116 states/eV/cell

***

(10)
Compound: AcLaNd2Ho
Source: Alexandria
Functional: PBE-GGA
Structure: relaxed

a b c (Å): 8.563 12.158 7.387
angles (deg): 90.00 90.00 90.00
Space group Cmcm (No. 63)
Asymmetric unit:
Ac (0.000, 0.243, 0.250) [4 per cell]
La (0.000, 0.488, 0.750) [4 per cell]
Nd (0.187, 0.000, 0.000) [8 per cell]
Ho (0.000, 0.212, 0.750) [4 per cell]

## Properties
- DFT formation energy: 339 meV/atom
- N(E_F): 34.125 states/eV/cell

***

(11)
Compound: PuSc2V
Source: Alexandria
Functional: PBE-GGA
Structure: relaxed

a b c (Å): 3.0682 3.0682 32.0171
angles (deg): 90.00 90.00 120.00
Space group R-3m (No. 166, hexagonal axes)
Asymmetric unit:
Pu (0.0000, 0.0000, 0.0000) [3 per cell]
Sc (0.0000, 0.0000, 0.4170) [6 per cell]
V (0.0000, 0.0000, 0.5000) [3 per cell]

## Properties
- DFT formation energy: 519 meV/atom
- N(E_F): 28.704 states/eV/cell

***

(12)
Compound: TlSnPb3
Source: Alexandria
Functional: PBE-GGA
Structure: relaxed

a b c (Å): 6.078 6.175 9.123
angles (deg): 81.94 71.81 70.85
Space group P-1 (No. 2)
Asymmetric unit:
Tl (0.151, 0.253, 0.195) [2 per cell]
Sn (0.350, 0.251, 0.803) [2 per cell]
Pb (0.047, 0.752, 0.399) [2 per cell]
Pb (0.254, 0.752, 0.997) [2 per cell]
Pb (0.455, 0.749, 0.591) [2 per cell]

## Properties
- Excess energy over the best structure of this formula in the dataset: 0 meV/atom
- DFT formation energy: 16 meV/atom
- N(E_F): 4.750 states/eV/cell

***

Number 1: total magnetization 3.0 Bohr magnetons per cell. Number 2: total magnetization 0.0 Bohr magnetons per cell. Number 3: total magnetization 0.0 Bohr magnetons per cell. Number 4: total magnetization 0.0 Bohr magnetons per cell. Number 5: total magnetization 0.0 Bohr magnetons per cell. Number 6: total magnetization 1.6 Bohr magnetons per cell. Number 7: total magnetization 0.0 Bohr magnetons per cell. Number 8: total magnetization 0.0 Bohr magnetons per cell. Number 9: total magnetization 0.0 Bohr magnetons per cell. Number 10: total magnetization 0.1 Bohr magnetons per cell. Number 11: total magnetization 20.4 Bohr magnetons per cell. Number 12: total magnetization 0.0 Bohr magnetons per cell.